VASP calculation (PBE+U) on an optimized crystal structure of FeO.

Calculated values
magnetization = 20.000 μB per cell
electronic total energy = -6.433 eV/atom

CIF file:
```
data_FeO
_chemical_formula_sum 'Fe5 O5'
_cell_length_a 4.346
_cell_length_b 5.028
_cell_length_c 6.190
_cell_angle_alpha 73.85
_cell_angle_beta 89.78
_cell_angle_gamma 64.57
_symmetry_space_group_name_H-M 'P -1'
_symmetry_Int_Tables_number 2
loop_
_symmetry_equiv_pos_as_xyz
'x,y,z'
'-x,-y,-z'
loop_
_atom_site_label
_atom_site_type_symbol
_atom_site_fract_x
_atom_site_fract_y
_atom_site_fract_z
_atom_site_occupancy
Fe1 Fe 0.000 0.000 0.000 1
Fe2 Fe 0.333 0.358 0.654 1
Fe3 Fe 0.353 0.295 0.185 1
O1 O 0.161 0.674 0.307 1
O2 O 0.184 0.632 0.865 1
O3 O 0.500 0.000 0.500 1
```